# KCd2Pb

KCd2Pb at its PBEsol-relaxed geometry (meta-GGA SCAN, the Alexandria database).

Unit cell a=5.288 b=5.288 c=5.288 alpha=119.71 beta=119.71 gamma=90.49
Atoms (fractional coordinates):
K 0.000 0.000 0.000
Cd 0.250 0.750 0.500
Cd 0.500 0.500 0.000
Pb 0.750 0.250 0.500

Output
DOS at the Fermi energy in states/eV/atom: 0.38
Energy in eV for the cell shown: -145.04
Total moment in μB/atom: 0.0000

# MgTlAs

MgTlAs at its PBEsol-relaxed geometry (meta-GGA SCAN, the Alexandria database).

Unit cell a=6.386 b=6.386 c=6.386 alpha=148.91 beta=148.91 gamma=44.54
Atoms (fractional coordinates):
Mg 0.000 0.000 0.000
Tl 0.297 0.297 0.000
As 0.613 0.613 0.000

Output
DOS at the Fermi energy in states/eV/atom: 0.45
Energy in eV for the cell shown: -97.66
Total moment in μB/atom: 0.0000

# Br4Cl3

Br4Cl3 at its PBEsol-relaxed geometry (meta-GGA SCAN, the Alexandria database).

Unit cell a=6.712 b=6.712 c=4.641 alpha=90.00 beta=90.00 gamma=120.00
Atoms (fractional coordinates):
Br 0.000 0.000 0.249
Br 0.000 0.000 0.751
Br 0.333 0.667 0.500
Br 0.667 0.333 0.500
Cl 0.000 0.500 0.000
Cl 0.500 0.000 0.000
Cl 0.500 0.500 0.000

Output
DOS at the Fermi energy in states/eV/atom: 1.22
Energy in eV for the cell shown: -97.73
Energy relative to the elements, uncorrected in eV per formula unit: 4.0
Total moment in μB/atom: 0.0005

# PrCu2O4

PrCu2O4 at its PBEsol-relaxed geometry (meta-GGA SCAN, the Alexandria database).

Unit cell a=6.334 b=6.334 c=6.334 alpha=125.65 beta=125.65 gamma=80.46
Atoms (fractional coordinates):
Pr 0.375 0.125 0.250
Pr 0.625 0.875 0.750
Cu 0.000 0.000 0.500
Cu 0.000 0.500 0.000
Cu 0.000 0.500 0.500
Cu 0.500 0.500 0.000
O 0.032 0.146 0.328
O 0.204 0.532 0.386
O 0.318 0.704 0.172
O 0.354 0.182 0.886
O 0.646 0.818 0.114
O 0.682 0.296 0.828
O 0.796 0.468 0.614
O 0.968 0.854 0.672

Output
DOS at the Fermi energy in states/eV/atom: 0.19
Energy in eV for the cell shown: -223.58
Energy relative to the elements, uncorrected in eV per formula unit: -13.1
Total moment in μB/atom: 0.1429

# CaTl2P

CaTl2P at its PBEsol-relaxed geometry (meta-GGA SCAN, the Alexandria database).

Unit cell a=6.497 b=6.477 c=4.219 alpha=71.29 beta=70.76 gamma=37.95
Atoms (fractional coordinates):
Ca 0.000 0.000 0.000
Tl 0.000 0.500 0.000
Tl 0.500 0.000 0.500
P 0.500 0.500 0.500

Output
DOS at the Fermi energy in states/eV/atom: 0.43
Energy in eV for the cell shown: -166.03
Total moment in μB/atom: 0.0000
Energy above the lowest structure with this stoichiometry in meV per atom: 141

# ZnNi3

ZnNi3 at its PBEsol-relaxed geometry (meta-GGA SCAN, the Alexandria database).

Unit cell a=2.519 b=2.519 c=6.864 alpha=90.00 beta=90.00 gamma=90.00
Atoms (fractional coordinates):
Zn 0.000 0.000 0.000
Ni 0.000 0.000 0.500
Ni 0.500 0.500 0.258
Ni 0.500 0.500 0.742

Output
DOS at the Fermi energy in states/eV/atom: 0.71
Energy in eV for the cell shown: -62.33
Total moment in μB/atom: 0.4281